Entry 1:
Li2MgSc (PBE, optimized geometry); calculated density = 1.6 g cm⁻³; crystal system = tetragonal; DFT formation energy = 1.21 eV per formula unit; total magnetization = 1.4 μB/cell
1.0
7.617 0.000 0.000
0.000 7.617 0.000
0.000 0.000 5.993
Li Mg Sc
8 4 4
Cartesian
1.797 1.904 0.749
1.904 5.606 2.248
1.904 5.820 5.244
2.011 1.904 3.746
5.606 5.713 3.746
5.713 1.797 5.244
5.713 2.011 2.248
5.820 5.713 0.749
0.000 0.000 0.000
0.000 3.809 1.498
3.809 0.000 4.495
3.809 3.809 2.997
0.000 0.000 2.997
0.000 3.809 4.495
3.809 0.000 1.498
3.809 3.809 0.000

Entry 2:
LiMgSc (PBE, optimized geometry); calculated density = 1.9 g cm⁻³; crystal system = orthorhombic; energy relative to the lowest polymorph listed for this composition = 0.101 eV per atom; DFT formation energy = 0.21 eV per formula unit; total magnetization = 0.0 μB/cell
1.0
3.892 0.000 0.000
0.000 4.807 0.000
0.000 0.000 14.325
Li Mg Sc
4 4 4
Cartesian
0.000 0.000 0.000
0.000 2.403 7.163
1.946 0.000 7.163
1.946 2.403 0.000
0.000 0.000 4.878
0.000 2.403 12.040
1.946 0.000 12.040
1.946 2.403 4.878
0.000 0.000 9.612
0.000 2.403 2.450
1.946 0.000 2.450
1.946 2.403 9.612

Entry 3:
LiMgSc (PBE, optimized geometry); calculated density = 1.7 g cm⁻³; crystal system = cubic; energy relative to the lowest polymorph listed for this composition = 0.452 eV per atom; DFT formation energy = 1.27 eV per formula unit; total magnetization = 0.0 μB/cell
1.0
6.627 0.000 0.000
0.000 6.627 0.000
0.000 0.000 6.627
Li Mg Sc
4 4 4
Cartesian
0.000 0.000 0.000
0.000 3.314 3.314
3.314 0.000 3.314
3.314 3.314 0.000
1.657 1.657 1.657
1.657 4.970 4.970
4.970 1.657 4.970
4.970 4.970 1.657
1.657 1.657 4.970
1.657 4.970 1.657
4.970 1.657 1.657
4.970 4.970 4.970

Entry 4:
LiMg4Sc (PBE, optimized geometry); calculated density = 1.7 g cm⁻³; crystal system = cubic; energy relative to the lowest polymorph listed for this composition = 0.131 eV per atom; DFT formation energy = 0.52 eV per formula unit; total magnetization = 0.0 μB/cell
1.0
0.000 4.146 4.146
4.146 0.000 4.146
4.146 4.146 0.000
Li Mg Sc
1 4 1
Cartesian
0.000 0.000 0.000
5.180 3.113 3.113
3.113 5.180 3.113
3.113 3.113 5.180
5.180 5.180 5.180
2.073 2.073 2.073

Entry 5:
LiMg12Sc3 (PBE, optimized geometry); calculated density = 2.0 g cm⁻³; crystal system = tetragonal; DFT formation energy = -0.62 eV per formula unit; total magnetization = 0.0 μB/cell
1.0
4.490 0.000 0.000
0.000 4.490 0.000
0.000 0.000 18.036
Li Mg Sc
1 12 3
Cartesian
0.000 0.000 0.000
0.000 2.245 2.183
0.000 2.245 6.728
0.000 2.245 11.307
0.000 2.245 15.853
2.245 0.000 2.183
2.245 0.000 6.728
2.245 0.000 11.307
2.245 0.000 15.853
2.245 2.245 0.000
2.245 2.245 4.419
2.245 2.245 9.018
2.245 2.245 13.616
0.000 0.000 4.440
0.000 0.000 9.018
0.000 0.000 13.595

Entry 6:
LiMg2Sc (PBE, optimized geometry); calculated density = 1.9 g cm⁻³; crystal system = tetragonal; energy relative to the lowest polymorph listed for this composition = 0.065 eV per atom; DFT formation energy = 0.12 eV per formula unit; total magnetization = 0.4 μB/cell
1.0
3.487 0.000 0.000
0.000 3.487 0.000
0.000 0.000 7.187
Li Mg Sc
1 2 1
Cartesian
0.000 0.000 0.000
0.000 0.000 3.471
1.744 1.744 1.571
1.744 1.744 5.380

Entry 7:
Li2MgScSe (PBE, optimized geometry); calculated density = 2.3 g cm⁻³; calculated total energy = -3.50 eV/atom; crystal system = tetragonal; total magnetization = 0.0 μB/cell
1.0
4.761 0.000 0.000
0.000 4.761 0.000
0.000 0.000 5.169
Li Mg Sc Se
2 1 1 1
Cartesian
0.000 2.381 0.000
2.381 0.000 0.000
0.000 0.000 2.585
2.381 2.381 2.585
2.381 2.381 0.000

Entry 8:
LiMgSc4Se8 (PBE, optimized geometry); calculated density = 4.0 g cm⁻³; calculated total energy = -5.48 eV/atom; crystal system = trigonal; total magnetization = 0.0 μB/cell
1.0
3.937 2.273 6.571
-3.937 2.273 6.571
0.000 -4.546 6.571
Li Mg Sc Se
1 1 4 8
Cartesian
0.000 0.000 0.000
0.000 0.000 12.443
-2.042 -1.179 9.024
0.000 0.000 4.897
2.042 -1.179 9.024
0.000 2.358 9.024
0.000 0.000 7.520
0.000 -2.113 10.636
-1.830 1.056 10.636
-1.879 -1.085 14.064
1.830 1.056 10.636
0.000 0.000 17.150
1.879 -1.085 14.064
0.000 2.170 14.064